Entry 1:
# TaFe2Se | Alexandria via LeMat-Bulk | PBE | optimized geometry
# raw formation energy: 0.1655 eV per atom
# total DFT energy (no corrections): -7.90 eV per atom
# calculated volume: 57.6 Å³/cell
# ρ: 10.72 g/cm3
# magnetization: 1.005 μB per atom
# D(E_F): 3.978 states/eV/f.u.
data_TaFe2Se
_chemical_formula_sum 'Ta1 Fe2 Se1'
_symmetry_space_group_name_H-M 'P m m m'
_symmetry_Int_Tables_number 47
_symmetry_space_group_name_Hall '-P 2 2'
_cell_length_a 3.1439
_cell_length_b 4.2265
_cell_length_c 4.3316
_cell_angle_alpha 90.00
_cell_angle_beta 90.00
_cell_angle_gamma 90.00
loop_
_atom_site_label
_atom_site_type_symbol
_atom_site_fract_x
_atom_site_fract_y
_atom_site_fract_z
Ta1 Ta 0.0000 0.0000 0.0000
Fe1 Fe 0.0000 0.5000 0.5000
Fe2 Fe 0.5000 0.0000 0.5000
Se1 Se 0.5000 0.5000 0.0000

=====

Entry 2:
# CdHgTe2 | Alexandria via LeMat-Bulk | PBE | optimized geometry
# raw formation energy: 0.0825 eV per atom
# total DFT energy (no corrections): -1.79 eV per atom
# energy above the most stable polymorph in this dataset: 395 meV per atom
# calculated volume: 244.3 Å³/cell
# ρ: 7.73 g/cm3
# magnetization: 0.000 μB per atom
# D(E_F): 1.819 states/eV/f.u.
data_CdHgTe2
_chemical_formula_sum 'Cd2 Hg2 Te4'
_symmetry_space_group_name_H-M 'I m m 2'
_symmetry_Int_Tables_number 44
_symmetry_space_group_name_Hall 'I 2 -2'
_cell_length_a 4.0350
_cell_length_b 6.7909
_cell_length_c 8.9144
_cell_angle_alpha 90.00
_cell_angle_beta 90.00
_cell_angle_gamma 90.00
loop_
_atom_site_label
_atom_site_type_symbol
_atom_site_fract_x
_atom_site_fract_y
_atom_site_fract_z
Cd1 Cd 0.0000 0.0000 0.0000
Hg1 Hg 0.0000 0.5000 0.2602
Te1 Te 0.0000 0.0000 0.5007
Te2 Te 0.0000 0.5000 0.7505

=====

Entry 3:
# NdGaBi | Alexandria via LeMat-Bulk | PBE | optimized geometry
# total DFT energy (no corrections): -4.28 eV per atom
# energy above the most stable polymorph in this dataset: 60 meV per atom
# calculated volume: 163.2 Å³/cell
# ρ: 8.61 g/cm3
# magnetization: 0.000 μB per atom
# energy of formation from the pure elements: -8.8 kcal/mol of atoms
# D(E_F): 3.299 states/eV/f.u.
data_NdGaBi
_chemical_formula_sum 'Nd2 Ga2 Bi2'
_symmetry_space_group_name_H-M 'I 4 m m'
_symmetry_Int_Tables_number 107
_symmetry_space_group_name_Hall 'I 4 -2'
_cell_length_a 3.8643
_cell_length_b 3.8643
_cell_length_c 10.9283
_cell_angle_alpha 90.00
_cell_angle_beta 90.00
_cell_angle_gamma 90.00
loop_
_atom_site_label
_atom_site_type_symbol
_atom_site_fract_x
_atom_site_fract_y
_atom_site_fract_z
Nd1 Nd 0.0000 0.0000 0.0000
Ga1 Ga 0.0000 0.0000 0.3222
Bi1 Bi 0.0000 0.0000 0.6946

=====

Entry 4:
# NdDyZn2In2 | Alexandria via LeMat-Bulk | PBE | optimized geometry
# total DFT energy (no corrections): -3.35 eV per atom
# calculated volume: 142.5 Å³/cell
# ρ: 7.78 g/cm3
# magnetization: 0.000 μB per atom
# energy of formation from the pure elements: -10.3 kcal/mol of atoms
# D(E_F): 3.474 states/eV/f.u.
data_NdDyZn2In2
_chemical_formula_sum 'Nd1 Dy1 Zn2 In2'
_symmetry_space_group_name_H-M 'P -3 m 1'
_symmetry_Int_Tables_number 164
_symmetry_space_group_name_Hall '-P 3 2"'
_cell_length_a 4.7042
_cell_length_b 4.7042
_cell_length_c 7.4344
_cell_angle_alpha 90.00
_cell_angle_beta 90.00
_cell_angle_gamma 120.00
loop_
_atom_site_label
_atom_site_type_symbol
_atom_site_fract_x
_atom_site_fract_y
_atom_site_fract_z
Nd1 Nd 0.0000 0.0000 0.0000
Dy1 Dy 0.0000 0.0000 0.5000
Zn1 Zn 0.3333 0.6667 0.2767
In1 In 0.3333 0.6667 0.7380

=====

Entry 5:
# BaFe3Au | Alexandria via LeMat-Bulk | PBE | optimized geometry
# total DFT energy (no corrections): -5.27 eV per atom
# calculated volume: 121.8 Å³/cell
# ρ: 6.84 g/cm3
# magnetization: 1.846 μB per atom
# energy of formation from the pure elements: 19.5 kcal/mol of atoms
# D(E_F): 9.402 states/eV/f.u.
data_BaFe3Au
_chemical_formula_sum 'Ba1 Fe3 Au1'
_symmetry_space_group_name_H-M 'P m -3 m'
_symmetry_Int_Tables_number 221
_symmetry_space_group_name_Hall '-P 4 2 3'
_cell_length_a 4.9565
_cell_length_b 4.9565
_cell_length_c 4.9565
_cell_angle_alpha 90.00
_cell_angle_beta 90.00
_cell_angle_gamma 90.00
loop_
_atom_site_label
_atom_site_type_symbol
_atom_site_fract_x
_atom_site_fract_y
_atom_site_fract_z
Ba1 Ba 0.0000 0.0000 0.0000
Fe1 Fe 0.0000 0.5000 0.5000
Au1 Au 0.5000 0.5000 0.5000

=====

Entry 6:
# Mg2GaPt8 | Alexandria via LeMat-Bulk | PBE | optimized geometry
# total DFT energy (no corrections): -5.36 eV per atom
# calculated volume: 350.6 Å³/cell
# ρ: 15.90 g/cm3
# magnetization: 0.000 μB per atom
# energy of formation from the pure elements: -9.3 kcal/mol of atoms
# D(E_F): 9.097 states/eV/f.u.
data_Mg2GaPt8
_chemical_formula_sum 'Mg4 Ga2 Pt16'
_symmetry_space_group_name_H-M 'I m m m'
_symmetry_Int_Tables_number 71
_symmetry_space_group_name_Hall '-I 2 2'
_cell_length_a 4.3070
_cell_length_b 7.2718
_cell_length_c 11.1949
_cell_angle_alpha 90.00
_cell_angle_beta 90.00
_cell_angle_gamma 90.00
loop_
_atom_site_label
_atom_site_type_symbol
_atom_site_fract_x
_atom_site_fract_y
_atom_site_fract_z
Mg1 Mg 0.0000 0.0000 0.2048
Ga1 Ga 0.0000 0.0000 0.5000
Pt1 Pt 0.0000 0.1853 0.0000
Pt2 Pt 0.0000 0.2835 0.3511
Pt3 Pt 0.0000 0.5000 0.1393